No. 1
TlZn2Cr | PBE-GGA | optimized geometry

Cell: 3.138 4.274 5.704 Å, 90.00 103.13 90.00°
Fractional positions:
Tl  0.000  0.000  0.000
Zn  0.616  0.500  0.246
Zn  0.731  0.000  0.500
Cr  0.302  0.500  0.666

Output
As for the density of states at the Fermi level: 0.434 states/eV/atom. The total DFT energy (no corrections) is -3.2765 eV per atom. The formation energy is 0.358 eV per atom. The value obtained for the energy above the most stable polymorph in this dataset is 37.0 meV per atom.

No. 2
Rb4BiTe4 | PBE-GGA | optimized geometry

Cell: 9.295 9.295 9.295 Å, 131.24 131.24 71.43°
Fractional positions:
Rb  0.157  0.157  0.585
Rb  0.428  0.843  0.000
Rb  0.572  0.572  0.415
Rb  0.843  0.428  0.000
Bi  0.000  0.000  0.000
Te  0.099  0.666  0.000
Te  0.334  0.334  0.432
Te  0.666  0.099  0.000
Te  0.901  0.901  0.568

Output
As for the density of states at the Fermi level: 0.476 states/eV/atom. The total DFT energy (no corrections) is -2.9802 eV per atom. The uncorrected formation energy comes out at -0.72 eV per atom.

No. 3
InGeRu | PBE-GGA | optimized geometry

Cell: 5.354 5.354 5.354 Å, 144.17 144.17 51.57°
Fractional positions:
In  0.000  0.000  0.000
Ge  0.301  0.301  0.000
Ru  0.689  0.689  0.000

Output
As for the density of states at the Fermi level: 0.823 states/eV/atom. The total DFT energy (no corrections) is -5.5561 eV per atom. The formation energy is -0.012 eV per atom.